DFT (GGA-PBE) results for a relaxed TbCdPt crystal.

extended XYZ file:
```
3
Lattice="3.495 0.000 0.000 0.000 4.696 0.000 0.000 -2.348 4.067" Properties=species:S:1:pos:R:3 pbc="T T T"
Tb 2.329 2.348 1.356
Pt 0.584 0.000 2.711
Cd 0.582 0.000 0.000
```

Calculated values
**Crystal system**: hexagonal
**Fermi-level density of states**: 2.45 states/eV/f.u.
**E**: -13.6 eV/cell
**Calculated volume**: 22.25 Å³/atom
**Symmetry**: P-6m2, No. 187